(1)
DFT (PBE-GGA) results for a geometry-optimized Ba2NpF8 structure.

The value obtained for the calculated volume is 182.69 Å³/f.u. The raw formation energy comes out at -3.71 eV per atom.

It has space group C2/m (No. 12), with a = 16.1647 Å, b = 4.2331 Å, c = 5.6190 Å, α = 90.00°, β = 108.14° and γ = 90.00°. The distinct sites, in fractional coordinates, are Ba at (0.1715, 0.0000, 0.1765), Np at (0.0000, 0.5000, 0.5000), F at (0.0144, 0.0000, 0.3001), F at (0.0894, 0.5000, 0.8821), F at (0.1250, 0.5000, 0.4237) and F at (0.2260, 0.0000, 0.7636).

***

(2)
DFT (PBE-GGA) results for a geometry-optimized Ba2NpO4F structure.

The value obtained for the calculated volume is 141.15 Å³/f.u. The raw formation energy comes out at -3.04 eV per atom.

It has space group C2/m (No. 12), with a = 11.6521 Å, b = 3.6143 Å, c = 7.4992 Å, α = 90.00°, β = 116.64° and γ = 90.00°. The distinct sites, in fractional coordinates, are Ba at (0.1794, 0.0000, 0.1945), Np at (0.0000, 0.0000, 0.5000), O at (0.1041, 0.5000, 0.4499), O at (0.1403, 0.0000, 0.7809) and F at (0.0000, 0.5000, 0.0000).

***

no.,energy (eV per atom)
1,-6.597
2,-7.852